[1]
AuCl3F: optimized geometry, PBE.

Cell lengths 4.6909, 4.6909, 4.6909 Å; angles 90.00, 90.00, 90.00 degrees
Positions (direct):
F 0.0000 0.0000 0.0000
Au 0.5000 0.5000 0.5000
Cl 0.0000 0.5000 0.0000
Cl 0.0000 0.0000 0.5000
Cl 0.5000 0.0000 0.0000

- formation energy (no corrections) (eV/atom) = 0.62
- DOS at the Fermi energy (states/eV/cell) = 4.87
- M_tot (μB per formula unit) = 0.00
- space-group type = No. 221
- crystal system = cubic


[2]
PmCdH6Ru: optimized geometry, PBE.

Cell lengths 4.7857, 4.7855, 4.4844 Å; angles 89.99, 90.01, 60.00 degrees
Positions (direct):
Pm 0.0000 0.0000 0.0002
Cd 0.6666 0.6666 0.5002
H 0.0525 0.4729 0.2168
H 0.4729 0.0527 0.7830
H 0.4743 0.4728 0.7830
H 0.0529 0.4745 0.7830
H 0.4726 0.4748 0.2168
H 0.4747 0.0525 0.2169
Ru 0.3333 0.3333 0.4999

- DOS at the Fermi energy (states/eV/cell) = 1.83
- M_tot (μB per formula unit) = 0.00
- DFT total energy (eV per atom) = -4.09
- space-group type = No. 149
- crystal system = trigonal


[3]
Zr2MoW: optimized geometry, PBE.

Cell lengths 4.7408, 4.7408, 4.7408 Å; angles 60.00, 60.00, 60.00 degrees
Positions (direct):
Mo 0.0000 0.0000 0.0000
Zr 0.2500 0.2500 0.2500
Zr 0.7500 0.7500 0.7500
W 0.5000 0.5000 0.5000

- DOS at the Fermi energy (states/eV/cell) = 7.56
- M_tot (μB per formula unit) = 0.00
- DFT total energy (eV per atom) = -10.06
- space-group type = No. 225
- crystal system = cubic


[4]
HgPd2F: optimized geometry, PBE.

Cell lengths 4.5134, 4.5134, 4.5134 Å; angles 60.00, 60.00, 60.00 degrees
Positions (direct):
Hg 0.5000 0.5000 0.5000
Pd 0.2500 0.2500 0.2500
Pd 0.7500 0.7500 0.7500
F 0.0000 0.0000 0.0000

- formation energy (no corrections) (eV/atom) = -0.20
- DOS at the Fermi energy (states/eV/cell) = 3.99
- M_tot (μB per formula unit) = 0.00
- space-group type = No. 225
- crystal system = cubic


[5]
HfUSe2O: optimized geometry, PBE.

Cell lengths 3.7620, 3.7620, 13.4751 Å; angles 90.00, 90.00, 90.00 degrees
Positions (direct):
Hf 0.5000 0.0000 0.0777
Hf 0.0000 0.5000 0.9223
U 0.5000 0.0000 0.6001
U 0.0000 0.5000 0.3999
Se 0.0000 0.5000 0.7075
Se 0.0000 0.5000 0.1288
Se 0.5000 0.0000 0.8712
Se 0.5000 0.0000 0.2925
O 0.0000 0.0000 0.5000
O 0.5000 0.5000 0.5000

- formation energy (no corrections) (eV/atom) = -1.80
- DOS at the Fermi energy (states/eV/cell) = 14.72
- M_tot (μB per formula unit) = 2.43
- space-group type = No. 129
- crystal system = tetragonal


[6]
TcP2Pb: optimized geometry, PBE.

Cell lengths 4.1612, 4.1612, 6.3421 Å; angles 83.94, 83.94, 45.11 degrees
Positions (direct):
P 0.0294 0.0294 0.8996
P 0.4706 0.4706 0.6004
Pb 0.2500 0.2500 0.2500
Tc 0.7500 0.7500 0.7500

- DOS at the Fermi energy (states/eV/cell) = 2.67
- M_tot (μB per formula unit) = 0.00
- DFT total energy (eV per atom) = -6.19
- space-group type = No. 12
- crystal system = monoclinic


[7]
ZnRe3Sb: optimized geometry, PBE.

Cell lengths 4.8385, 4.8385, 4.8385 Å; angles 90.00, 90.00, 90.00 degrees
Positions (direct):
Re 0.0000 0.5000 0.0000
Re 0.0000 0.0000 0.5000
Re 0.5000 0.0000 0.0000
Zn 0.5000 0.5000 0.5000
Sb 0.0000 0.0000 0.0000

- formation energy (no corrections) (eV/atom) = 2.62
- DOS at the Fermi energy (states/eV/cell) = 5.55
- M_tot (μB per formula unit) = 1.12
- space-group type = No. 221
- crystal system = cubic


[8]
Ca2UCu2As4: optimized geometry, PBE.

Cell lengths 4.0233, 7.0579, 7.5602 Å; angles 110.50, 105.43, 90.00 degrees
Positions (direct):
Ca 0.1373 0.5846 0.2746
Ca 0.8627 0.4154 0.7254
U 0.0000 0.0000 0.0000
Cu 0.6811 0.9866 0.3622
Cu 0.3189 0.0134 0.6378
As 0.2029 0.2077 0.4058
As 0.7971 0.7923 0.5942
As 0.5103 0.7352 0.0206
As 0.4897 0.2648 0.9794

- DOS at the Fermi energy (states/eV/cell) = 3.04
- M_tot (μB per formula unit) = 0.24
- DFT total energy (eV per atom) = -5.40
- space-group type = No. 12
- crystal system = monoclinic